Version i
## Er3AgHg2 (PBE-GGA)

Data for a relaxed structure of Er3AgHg2.

```
data_Er3AgHg2
_cell_length_a 3.662
_cell_length_b 3.662
_cell_length_c 10.989
_cell_angle_alpha 90.00
_cell_angle_beta 90.00
_cell_angle_gamma 90.00
_space_group_name_H-M_alt 'P 4/m m m'
_space_group_IT_number 123
_space_group_name_Hall '-P 4 2'
loop_
_atom_site_label
_atom_site_type_symbol
_atom_site_fract_x
_atom_site_fract_y
_atom_site_fract_z
Er1 Er 0.000 0.000 0.000
Er2 Er 0.000 0.000 0.339
Ag1 Ag 0.500 0.500 0.500
Hg1 Hg 0.500 0.500 0.168
```


Version ii
## Er3AgHg2 (PBE-GGA)

Data for a relaxed structure of Er3AgHg2.

```
data_Er3AgHg2
_cell_length_a 5.1765
_cell_length_b 5.1765
_cell_length_c 12.6838
_cell_angle_alpha 90.00
_cell_angle_beta 90.00
_cell_angle_gamma 120.00
_space_group_name_H-M_alt 'P -3 m 1'
_space_group_IT_number 164
_space_group_name_Hall '-P 3 2"'
loop_
_atom_site_label
_atom_site_type_symbol
_atom_site_fract_x
_atom_site_fract_y
_atom_site_fract_z
Er1 Er 0.0000 0.0000 0.2469
Er2 Er 0.3333 0.6667 0.4143
Er3 Er 0.3333 0.6667 0.9176
Ag1 Ag 0.3333 0.6667 0.1657
Hg1 Hg 0.0000 0.0000 0.0000
Hg2 Hg 0.0000 0.0000 0.5000
Hg3 Hg 0.3333 0.6667 0.6686
```


Which structure wins on stability? version ii wins.